# 1
Computed, not measured: ScHgIr2C after structural relaxation at the PBE-GGA level of DFT.

Values from the calculation:
Energy relative to the elements, eV per formula unit: 8.74
VASP energy, eV/atom: -4.969
Calculated density, g/cm³: 11.008

a = 4.834 Å, b = 4.834 Å, c = 4.145 Å
α = 90.00°, β = 90.00°, γ = 90.00°
Atoms (fractional coordinates):
Sc1 0.000 0.000 0.000
Hg1 0.500 0.500 0.500
Ir1 0.000 0.500 0.000
Ir2 0.500 0.000 0.000
C1 0.000 0.000 0.500



# 2
Computed, not measured: Ca2Ni after structural relaxation at the PBE-GGA level of DFT.

Values from the calculation:
Energy relative to the elements, eV per formula unit: 0.01
VASP energy, eV/atom: -3.258
Calculated density, g/cm³: 2.780

a = 4.895 Å, b = 4.895 Å, c = 4.895 Å
α = 60.00°, β = 60.00°, γ = 60.00°
Atoms (fractional coordinates):
Ca1 0.250 0.250 0.250
Ca2 0.750 0.750 0.750
Ni1 0.000 0.000 0.000



# 3
Computed, not measured: Tb2As4IrRh3 after structural relaxation at the PBE-GGA level of DFT.

Values from the calculation:
Energy relative to the elements, eV per formula unit: -8.36
VASP energy, eV/atom: -6.714
Calculated density, g/cm³: 10.310

a = 4.200 Å, b = 4.200 Å, c = 10.213 Å
α = 90.00°, β = 90.00°, γ = 90.00°
Atoms (fractional coordinates):
Tb1 0.000 0.500 0.248
Tb2 0.500 0.000 0.752
As1 0.000 0.000 0.500
As2 0.000 0.500 0.861
As3 0.500 0.000 0.139
As4 0.500 0.500 0.500
Ir1 0.500 0.500 0.000
Rh1 0.000 0.000 0.000
Rh2 0.000 0.500 0.627
Rh3 0.500 0.000 0.373



# 4
Computed, not measured: Ta2NbIn after structural relaxation at the PBE-GGA level of DFT.

Values from the calculation:
Energy relative to the elements, eV per formula unit: 3.18
VASP energy, eV/atom: -8.333
Calculated density, g/cm³: 11.452

a = 6.094 Å, b = 6.094 Å, c = 6.094 Å
α = 102.56°, β = 102.56°, γ = 124.42°
Atoms (fractional coordinates):
Ta1 0.107 0.625 0.982
Ta2 0.375 0.357 0.482
Ta3 0.643 0.125 0.018
Ta4 0.875 0.893 0.518
Nb1 0.000 0.000 0.000
Nb2 0.750 0.250 0.500
In1 0.250 0.750 0.500
In2 0.500 0.500 0.000



# 5
Computed, not measured: Mg2SbHPd6 after structural relaxation at the PBE-GGA level of DFT.

Values from the calculation:
VASP energy, eV/atom: -4.243
Calculated density, g/cm³: 7.257

a = 4.749 Å, b = 4.749 Å, c = 8.218 Å
α = 90.00°, β = 90.00°, γ = 90.00°
Atoms (fractional coordinates):
Mg1 0.000 0.000 0.222
Mg2 0.000 0.000 0.778
Sb1 0.500 0.500 0.500
H1 0.500 0.500 0.000
Pd1 0.000 0.500 0.000
Pd2 0.000 0.500 0.500
Pd3 0.500 0.000 0.000
Pd4 0.500 0.000 0.500
Pd5 0.500 0.500 0.198
Pd6 0.500 0.500 0.802



# 6
Computed, not measured: BaSc4Ru after structural relaxation at the PBE-GGA level of DFT.

Values from the calculation:
Energy relative to the elements, eV per formula unit: 3.94
VASP energy, eV/atom: -5.430
Calculated density, g/cm³: 4.650

a = 5.956 Å, b = 5.956 Å, c = 5.956 Å
α = 60.00°, β = 60.00°, γ = 60.00°
Atoms (fractional coordinates):
Ba1 0.000 0.000 0.000
Sc1 0.378 0.378 0.378
Sc2 0.378 0.378 0.866
Sc3 0.378 0.866 0.378
Sc4 0.866 0.378 0.378
Ru1 0.750 0.750 0.750



# 7
Computed, not measured: La2Ge2Pt after structural relaxation at the PBE-GGA level of DFT.

Values from the calculation:
Energy relative to the elements, eV per formula unit: -4.51
VASP energy, eV/atom: -5.928
Calculated density, g/cm³: 8.972

a = 6.830 Å, b = 6.830 Å, c = 4.906 Å
α = 90.00°, β = 90.00°, γ = 90.00°
Atoms (fractional coordinates):
La1 0.174 0.326 0.000
La2 0.326 0.826 0.000
La3 0.674 0.174 0.000
La4 0.826 0.674 0.000
Ge1 0.137 0.637 0.500
Ge2 0.363 0.137 0.500
Ge3 0.637 0.863 0.500
Ge4 0.863 0.363 0.500
Pt1 0.000 0.000 0.500
Pt2 0.500 0.500 0.500



# 8
Computed, not measured: Nd3Hg2Pd3 after structural relaxation at the PBE-GGA level of DFT.

Values from the calculation:
Energy relative to the elements, eV per formula unit: -4.83
VASP energy, eV/atom: -4.414
Calculated density, g/cm³: 10.107

a = 10.444 Å, b = 10.444 Å, c = 10.444 Å
α = 159.30°, β = 151.90°, γ = 35.16°
Atoms (fractional coordinates):
Nd1 0.000 0.000 0.000
Nd2 0.370 0.870 0.500
Nd3 0.630 0.130 0.500
Hg1 0.233 0.233 0.000
Hg2 0.767 0.767 0.000
Pd1 0.118 0.618 0.500
Pd2 0.500 0.500 0.000
Pd3 0.882 0.382 0.500



# 9
Computed, not measured: AsC3 after structural relaxation at the PBE-GGA level of DFT.

Values from the calculation:
Energy relative to the elements, eV per formula unit: 4.44
Energy above the most stable polymorph in this dataset, meV/atom: 347
VASP energy, eV/atom: -6.971
Calculated density, g/cm³: 3.080

a = 2.787 Å, b = 3.181 Å, c = 6.789 Å
α = 90.00°, β = 96.42°, γ = 90.00°
Atoms (fractional coordinates):
As1 0.000 0.000 0.000
C1 0.152 0.500 0.622
C2 0.642 0.500 0.622
C3 0.950 0.500 0.816



# 10
Computed, not measured: Tm3Tl3Cd after structural relaxation at the PBE-GGA level of DFT.

Values from the calculation:
Energy relative to the elements, eV per formula unit: -1.64
Energy above the most stable polymorph in this dataset, meV/atom: 0
VASP energy, eV/atom: -3.295
Calculated density, g/cm³: 11.095

a = 6.310 Å, b = 6.310 Å, c = 12.890 Å
α = 102.37°, β = 102.37°, γ = 47.67°
Atoms (fractional coordinates):
Tm1 0.070 0.070 0.394
Tm2 0.083 0.083 0.895
Tm3 0.236 0.236 0.685
Tm4 0.764 0.764 0.315
Tm5 0.917 0.917 0.105
Tm6 0.930 0.930 0.606
Tl1 0.360 0.360 0.461
Tl2 0.365 0.365 0.955
Tl3 0.470 0.470 0.256
Tl4 0.530 0.530 0.744
Tl5 0.635 0.635 0.045
Tl6 0.640 0.640 0.539
Cd1 0.200 0.200 0.170
Cd2 0.800 0.800 0.830



# 11
Computed, not measured: Al2NiBr after structural relaxation at the PBE-GGA level of DFT.

Values from the calculation:
ΔE_f (raw), eV per atom: 0.202
Energy above the most stable polymorph in this dataset, meV/atom: 475
VASP energy, eV/atom: -3.532
Calculated density, g/cm³: 4.454

a = 5.925 Å, b = 5.925 Å, c = 4.454 Å
α = 105.55°, β = 105.55°, γ = 28.55°
Atoms (fractional coordinates):
Al1 0.193 0.193 0.212
Al2 0.807 0.807 0.788
Ni1 0.500 0.500 0.000
Br1 0.000 0.000 0.500



# 12
Computed, not measured: LiSICl2 after structural relaxation at the PBE-GGA level of DFT.

Values from the calculation:
ΔE_f (raw), eV per atom: -0.165
Energy above the most stable polymorph in this dataset, meV/atom: 0
VASP energy, eV/atom: -2.422
Calculated density, g/cm³: 2.718

a = 4.276 Å, b = 4.276 Å, c = 7.911 Å
α = 90.00°, β = 90.00°, γ = 90.00°
Atoms (fractional coordinates):
Li1 0.000 0.000 0.000
S1 0.000 0.000 0.500
I1 0.500 0.500 0.500
Cl1 0.000 0.500 0.000
Cl2 0.500 0.000 0.000